# InTc2Br, relaxed, DFT GGA-PBE
# - raw total energy (eV per atom) = -5.1467
# - Fermi-level density of states (states/eV per cell) = 17.1
# - spin magnetization (μB/cell) = 0.0
# - energy above the most stable polymorph in this dataset (eV/atom) = 0.990
data_InTc2Br
_chemical_formula_sum 'In4 Tc8 Br4'
_cell_length_a 7.253
_cell_length_b 7.253
_cell_length_c 5.798
_cell_angle_alpha 90.00
_cell_angle_beta 90.00
_cell_angle_gamma 90.00
_symmetry_space_group_name_H-M 'I -4 2 d'
_symmetry_Int_Tables_number 122
_symmetry_space_group_name_Hall 'I -4 2bw'
loop_
_atom_site_label
_atom_site_type_symbol
_atom_site_fract_x
_atom_site_fract_y
_atom_site_fract_z
In1 In 0.000 0.000 0.000
Tc1 Tc 0.186 0.250 0.625
Br1 Br 0.000 0.000 0.500